# CsBN2

CsBN2 after structural relaxation (GGA-PBEsol, Alexandria).

Output
Total DFT energy (no corrections) ... -23.8 eV per formula unit
Formation energy from raw total energies ... 0.296 eV per atom

Unit cell a=4.6587 b=4.6587 c=17.6988 alpha=90.00 beta=90.00 gamma=120.00
Space group R-3m (No. 166, hexagonal axes)
One atom of each set of equivalent atoms:
1 Cs 0.0000 0.0000 0.0000
2 B 0.0000 0.0000 0.5000
3 N 0.0000 0.0000 0.4245

# Cs2Na2B10O17

Cs2Na2B10O17 after structural relaxation (GGA-PBEsol, Alexandria).

Output
Total DFT energy (no corrections) ... -239.4 eV per formula unit
Formation energy from raw total energies ... -2.431 eV per atom

Unit cell a=21.903 b=6.578 c=11.070 alpha=90.00 beta=105.30 gamma=90.00
Space group C2/c (No. 15)
One atom of each set of equivalent atoms:
1 Cs 0.064 0.190 0.095
2 Na 0.234 0.041 0.184
3 B 0.056 0.300 0.738
4 B 0.146 0.323 0.642
5 B 0.156 0.136 0.851
6 B 0.167 0.224 0.438
7 B 0.182 0.426 0.006
8 O 0.000 0.386 0.750
9 O 0.079 0.367 0.642
10 O 0.086 0.157 0.822
11 O 0.145 0.179 0.538
12 O 0.173 0.083 0.351
13 O 0.174 0.480 0.121
14 O 0.182 0.224 0.978
15 O 0.182 0.233 0.758
16 O 0.186 0.423 0.419

# CsNbBW2

CsNbBW2 after structural relaxation (GGA-PBEsol, Alexandria).

Output
Total DFT energy (no corrections) ... -38.7 eV per formula unit
Formation enthalpy at 0 K ... 1.5394 eV/atom

Unit cell a=4.331 b=4.331 c=4.661 alpha=90.00 beta=90.00 gamma=90.00
Space group P4/mmm (No. 123)
One atom of each set of equivalent atoms:
1 Cs 0.000 0.000 0.000
2 Nb 0.500 0.500 0.000
3 B 0.500 0.500 0.500
4 W 0.000 0.500 0.500

# CsNi3B

CsNi3B after structural relaxation (GGA-PBEsol, Alexandria).

Output
Total DFT energy (no corrections) ... -23.2 eV per formula unit
Formation enthalpy at 0 K ... 0.6412 eV/atom

Unit cell a=4.115 b=4.115 c=4.115 alpha=90.00 beta=90.00 gamma=90.00
Space group Pm-3m (No. 221)
One atom of each set of equivalent atoms:
1 Cs 0.000 0.000 0.000
2 Ni 0.000 0.500 0.500
3 B 0.500 0.500 0.500

# CsZnBP2O8

CsZnBP2O8 after structural relaxation (GGA-PBEsol, Alexandria).

Output
Total DFT energy (no corrections) ... -92.5 eV per formula unit
Formation energy from raw total energies ... -2.256 eV per atom

Unit cell a=7.556 b=7.846 c=8.012 alpha=117.84 beta=102.77 gamma=104.62
Space group P-1 (No. 2)
One atom of each set of equivalent atoms:
1 Cs 0.239 0.347 0.094
2 Zn 0.297 0.708 0.759
3 B 0.203 0.932 0.432
4 P 0.054 0.227 0.430
5 P 0.461 0.898 0.227
6 O 0.050 0.758 0.417
7 O 0.088 0.806 0.762
8 O 0.099 0.026 0.346
9 O 0.245 0.426 0.543
10 O 0.295 0.826 0.297
11 O 0.343 0.094 0.645
12 O 0.403 0.715 0.007
13 O 0.486 0.110 0.255

# CsZn2B3O7

CsZn2B3O7 after structural relaxation (GGA-PBEsol, Alexandria).

Output
Total DFT energy (no corrections) ... -89.4 eV per formula unit
Formation energy from raw total energies ... -2.116 eV per atom

Unit cell a=8.466 b=19.249 c=14.559 alpha=90.00 beta=90.00 gamma=90.00
Space group Cmc2_1 (No. 36)
One atom of each set of equivalent atoms:
1 Cs 0.000 0.004 0.000
2 Cs 0.000 0.387 0.426
3 Cs 0.000 0.390 0.070
4 Zn 0.187 0.191 0.756
5 Zn 0.189 0.205 0.417
6 Zn 0.191 0.210 0.094
7 B 0.000 0.225 0.586
8 B 0.000 0.226 0.921
9 B 0.000 0.246 0.255
10 B 0.235 0.466 0.249
11 B 0.246 0.422 0.667
12 B 0.249 0.076 0.335
13 O 0.000 0.204 0.831
14 O 0.000 0.227 0.491
15 O 0.000 0.238 0.161
16 O 0.140 0.252 0.302
17 O 0.141 0.236 0.966
18 O 0.143 0.224 0.631
19 O 0.218 0.398 0.247
20 O 0.235 0.108 0.417
21 O 0.238 0.495 0.667
22 O 0.242 0.113 0.088
23 O 0.244 0.497 0.832
24 O 0.246 0.389 0.752

# CsBP2

CsBP2 after structural relaxation (GGA-PBEsol, Alexandria).

Output
Total DFT energy (no corrections) ... -18.4 eV per formula unit
Formation enthalpy at 0 K ... 0.2787 eV/atom

Unit cell a=6.566 b=6.566 c=8.149 alpha=90.00 beta=90.00 gamma=90.00
Space group I-42d (No. 122)
One atom of each set of equivalent atoms:
1 Cs 0.000 0.000 0.000
2 B 0.000 0.000 0.500
3 P 0.078 0.750 0.625

# CsBPS2

CsBPS2 after structural relaxation (GGA-PBEsol, Alexandria).

Output
Total DFT energy (no corrections) ... -10.3 eV per formula unit
Formation energy from raw total energies ... 2.436 eV per atom

Unit cell a=5.472 b=5.472 c=5.628 alpha=90.00 beta=90.00 gamma=90.00
Space group P4/mmm (No. 123)
One atom of each set of equivalent atoms:
1 Cs 0.000 0.000 0.000
2 B 0.500 0.500 0.500
3 P 0.000 0.000 0.500
4 S 0.000 0.500 0.000

# CsRbSiB2

CsRbSiB2 after structural relaxation (GGA-PBEsol, Alexandria).

Output
Total DFT energy (no corrections) ... -8.6 eV per formula unit
Formation energy from raw total energies ... 2.638 eV per atom

Unit cell a=5.141 b=5.141 c=6.179 alpha=90.00 beta=90.00 gamma=90.00
Space group P4/mmm (No. 123)
One atom of each set of equivalent atoms:
1 Cs 0.000 0.000 0.000
2 Rb 0.000 0.000 0.500
3 Si 0.500 0.500 0.500
4 B 0.000 0.500 0.000

# CsRbTlB2

CsRbTlB2 after structural relaxation (GGA-PBEsol, Alexandria).

Output
Total DFT energy (no corrections) ... -7.7 eV per formula unit
Formation enthalpy at 0 K ... 2.1845 eV/atom

Unit cell a=5.372 b=5.372 c=6.284 alpha=90.00 beta=90.00 gamma=90.00
Space group P4/mmm (No. 123)
One atom of each set of equivalent atoms:
1 Cs 0.000 0.000 0.000
2 Rb 0.000 0.000 0.500
3 Tl 0.500 0.500 0.000
4 B 0.000 0.500 0.500

# Cs3ReB

Cs3ReB after structural relaxation (GGA-PBEsol, Alexandria).

Output
Total DFT energy (no corrections) ... -11.9 eV per formula unit
Formation enthalpy at 0 K ... 2.2490 eV/atom

Unit cell a=5.753 b=5.753 c=5.753 alpha=90.00 beta=90.00 gamma=90.00
Space group Pm-3m (No. 221)
One atom of each set of equivalent atoms:
1 Cs 0.000 0.000 0.500
2 Re 0.000 0.000 0.000
3 B 0.500 0.500 0.500

# Cs2BRh

Cs2BRh after structural relaxation (GGA-PBEsol, Alexandria).

Output
Total DFT energy (no corrections) ... -10.3 eV per formula unit
Formation enthalpy at 0 K ... 1.6851 eV/atom

Unit cell a=7.494 b=7.494 c=7.494 alpha=90.00 beta=90.00 gamma=90.00
Space group Fm-3m (No. 225)
One atom of each set of equivalent atoms:
1 Cs 0.250 0.250 0.250
2 B 0.000 0.000 0.000
3 Rh 0.000 0.000 0.500

# CsB3Rh

CsB3Rh after structural relaxation (GGA-PBEsol, Alexandria).

Output
Total DFT energy (no corrections) ... -25.3 eV per formula unit
Formation enthalpy at 0 K ... 0.9620 eV/atom

Unit cell a=4.230 b=4.230 c=4.230 alpha=90.00 beta=90.00 gamma=90.00
Space group Pm-3m (No. 221)
One atom of each set of equivalent atoms:
1 Cs 0.000 0.000 0.000
2 B 0.000 0.500 0.500
3 Rh 0.500 0.500 0.500

# Cs4B9S9

Cs4B9S9 after structural relaxation (GGA-PBEsol, Alexandria).

Output
Total DFT energy (no corrections) ... -124.0 eV per formula unit
Formation energy from raw total energies ... -0.799 eV per atom

Unit cell a=10.311 b=10.315 c=10.801 alpha=103.68 beta=92.09 gamma=109.75
Space group P-1 (No. 2)
One atom of each set of equivalent atoms:
1 Cs 0.009 0.147 0.377
2 Cs 0.373 0.115 0.131
3 Cs 0.378 0.749 0.529
4 Cs 0.380 0.315 0.756
5 B 0.024 0.377 0.875
6 B 0.032 0.664 0.980
7 B 0.042 0.491 0.147
8 B 0.135 0.563 0.917
9 B 0.141 0.454 0.022
10 B 0.143 0.630 0.086
11 B 0.181 0.857 0.305
12 B 0.232 0.828 0.856
13 B 0.260 0.429 0.252
14 S 0.011 0.229 0.731
15 S 0.085 0.840 0.944
16 S 0.109 0.475 0.302
17 S 0.260 0.007 0.438
18 S 0.271 0.662 0.831
19 S 0.285 0.780 0.197
20 S 0.290 0.412 0.082
21 S 0.333 0.972 0.797
22 S 0.375 0.408 0.365

# Cs2BSb

Cs2BSb after structural relaxation (GGA-PBEsol, Alexandria).

Output
Total DFT energy (no corrections) ... -9.3 eV per formula unit
Formation energy from raw total energies ... 1.031 eV per atom

Unit cell a=8.498 b=8.498 c=8.498 alpha=90.00 beta=90.00 gamma=90.00
Space group Fm-3m (No. 225)
One atom of each set of equivalent atoms:
1 Cs 0.250 0.250 0.250
2 B 0.000 0.000 0.000
3 Sb 0.000 0.000 0.500

# CsBSb2Te

CsBSb2Te after structural relaxation (GGA-PBEsol, Alexandria).

Output
Total DFT energy (no corrections) ... -18.3 eV per formula unit
Formation energy from raw total energies ... 0.462 eV per atom

Unit cell a=4.997 b=4.997 c=5.363 alpha=90.00 beta=90.00 gamma=90.00
Space group P4/mmm (No. 123)
One atom of each set of equivalent atoms:
1 Cs 0.000 0.000 0.000
2 B 0.500 0.500 0.500
3 Sb 0.000 0.500 0.500
4 Te 0.500 0.500 0.000

# CsZr2ScB

CsZr2ScB after structural relaxation (GGA-PBEsol, Alexandria).

Output
Total DFT energy (no corrections) ... -21.7 eV per formula unit
Formation enthalpy at 0 K ... 2.2117 eV/atom

Unit cell a=5.052 b=5.052 c=5.584 alpha=90.00 beta=90.00 gamma=90.00
Space group P4/mmm (No. 123)
One atom of each set of equivalent atoms:
1 Cs 0.000 0.000 0.000
2 Zr 0.000 0.500 0.500
3 Sc 0.000 0.000 0.500
4 B 0.500 0.500 0.000

# CsBSe2

CsBSe2 after structural relaxation (GGA-PBEsol, Alexandria).

Output
Total DFT energy (no corrections) ... -18.3 eV per formula unit
Formation energy from raw total energies ... -0.656 eV per atom

Unit cell a=7.091 b=12.498 c=5.584 alpha=90.00 beta=112.72 gamma=90.00
Space group C2/c (No. 15)
One atom of each set of equivalent atoms:
1 Cs 0.000 0.140 0.250
2 B 0.000 0.499 0.750
3 Se 0.155 0.408 0.078